Li2CaGe2: relaxed, PBEsol.

Cell lengths 4.1238, 4.1238, 6.4287 Å; angles 108.71, 108.71, 90.00 degrees
Atoms (fractional coordinates):
Ge 0.6037 0.6037 0.2074
Ge 0.3963 0.3963 0.7926
Ca 0.0000 0.0000 0.0000
Li 0.2500 0.7500 0.5000
Li 0.7500 0.2500 0.5000

Properties
Calculated density = 3.40 Mg/m³
Space group = I4/mmm
V = 19.49 A^3/atom
Formation energy = -476.1 meV per atom
Size of the total moment = 0.000 μB per formula unit